A plane-wave DFT calculation with SCAN was carried out for a PBEsol-optimized structure of Si3NiAu.

The space group is Pm-3m (No. 221) and the conventional cell measures 4.7165, 4.7165 and 4.7165 Å, with angles of 90.00, 90.00 and 90.00 degrees. The asymmetric unit holds Si at (0.0000, 0.0000, 0.5000), Ni at (0.5000, 0.5000, 0.5000) and Au at (0.0000, 0.0000, 0.0000).

As for the energy relative to the elements, uncorrected: 1458 meV per atom. The density of states at the Fermi level is 0.7124 states/eV per atom.


A plane-wave DFT calculation with SCAN was carried out for a PBEsol-optimized structure of Mn3SnC.

The space group is Pm-3m (No. 221) and the conventional cell measures 3.8421, 3.8421 and 3.8421 Å, with angles of 90.00, 90.00 and 90.00 degrees. The asymmetric unit holds Mn at (0.0000, 0.0000, 0.5000), Sn at (0.5000, 0.5000, 0.5000) and C at (0.0000, 0.0000, 0.0000).

The density of states at the Fermi level is 0.7983 states/eV per atom. Its energy of formation from the pure elements is 0.02 eV/f.u.


A plane-wave DFT calculation with SCAN was carried out for a PBEsol-optimized structure of Li4Mn7O16.

The space group is C2/m (No. 12) and the conventional cell measures 9.7551, 11.2123 and 5.0618 Å, with angles of 90.00, 109.25 and 90.00 degrees. The asymmetric unit holds Li at (0.0000, 0.1266, 0.0000), Li at (0.2462, 0.5000, 0.0081), Mn at (0.0000, 0.2453, 0.5000), Mn at (0.0000, 0.5000, 0.5000), Mn at (0.2454, 0.1236, 0.5053), O at (0.1189, 0.3770, 0.7014), O at (0.1268, 0.1335, 0.7193), O at (0.1292, 0.2457, 0.2916), O at (0.1328, 0.5000, 0.2868) and O at (0.1455, 0.0000, 0.2737).

As for the energy relative to the elements, uncorrected: -2170 meV per atom.


A plane-wave DFT calculation with SCAN was carried out for a PBEsol-optimized structure of NaSr2Ca.

The space group is Fm-3m (No. 225) and the conventional cell measures 9.0154, 9.0154 and 9.0154 Å, with angles of 90.00, 90.00 and 90.00 degrees. The asymmetric unit holds Na at (0.0000, 0.0000, 0.0000), Sr at (0.2500, 0.2500, 0.2500) and Ca at (0.0000, 0.0000, 0.5000).

The density of states at the Fermi level is 0.8126 states/eV per atom. Its energy of formation from the pure elements is 0.27 eV/f.u.


A plane-wave DFT calculation with SCAN was carried out for a PBEsol-optimized structure of ZnPbCl2.

The space group is C2/m (No. 12) and the conventional cell measures 7.3439, 4.2339 and 8.7472 Å, with angles of 90.00, 105.76 and 90.00 degrees. The asymmetric unit holds Zn at (0.0000, 0.0000, 0.0000), Pb at (0.0000, 0.5000, 0.5000) and Cl at (0.2256, 0.0000, 0.6819).

As for the energy relative to the elements, uncorrected: -548 meV per atom. The value obtained for the polymorph energy (0 for the lowest one) is 126 meV/atom.


A plane-wave DFT calculation with SCAN was carried out for a PBEsol-optimized structure of BaMg2Al.

The space group is P4/mmm (No. 123) and the conventional cell measures 4.7985, 4.7985 and 5.0241 Å, with angles of 90.00, 90.00 and 90.00 degrees. The asymmetric unit holds Ba at (0.0000, 0.0000, 0.0000), Mg at (0.0000, 0.5000, 0.5000) and Al at (0.5000, 0.5000, 0.0000).

The density of states at the Fermi level is 1.0855 states/eV per atom. Its energy of formation from the pure elements is 0.70 eV/f.u.


A plane-wave DFT calculation with SCAN was carried out for a PBEsol-optimized structure of LaFeSb3.

The space group is Pm-3m (No. 221) and the conventional cell measures 5.0254, 5.0254 and 5.0254 Å, with angles of 90.00, 90.00 and 90.00 degrees. The asymmetric unit holds La at (0.0000, 0.0000, 0.0000), Fe at (0.5000, 0.5000, 0.5000) and Sb at (0.0000, 0.5000, 0.5000).

As for the energy relative to the elements, uncorrected: -213 meV per atom. The density of states at the Fermi level is 0.6371 states/eV per atom.


A plane-wave DFT calculation with SCAN was carried out for a PBEsol-optimized structure of Ba2InPd2.

The space group is P4/mbm (No. 127) and the conventional cell measures 7.7095, 7.7095 and 4.5835 Å, with angles of 90.00, 90.00 and 90.00 degrees. The asymmetric unit holds Ba at (0.1752, 0.3248, 0.0000), In at (0.0000, 0.0000, 0.5000) and Pd at (0.1280, 0.6280, 0.5000).

The density of states at the Fermi level is 0.4544 states/eV per atom. Its energy of formation from the pure elements is -2.70 eV/f.u.